The following is a DFT calculation (PBE) of Ag2RhSe after structural relaxation.

extended XYZ file:
```
4
Lattice="4.513 0.000 -0.001 -2.229 5.294 0.015 0.056 0.888 2.949" Properties=species:S:1:pos:R:3 pbc="T T T"
Ag 0.000 0.000 0.000
Ag 2.285 0.444 1.474
Rh -1.086 3.091 1.482
Se 1.142 2.647 0.007
```

Computed properties:
ΔE_f (raw) ... 206 meV per atom
DOS(E_F) ... 2.36 states/eV per cell
V ... 17.6 Å³ per atom
Space-group type ... C2/m, No. 12
Total energy ... -3.928 eV/atom